1.
# GGA-PBEsol SiSbBr2, relaxed
data_SiSbBr2
_symmetry_space_group_name_H-M 'F -4 3 m'
_symmetry_Int_Tables_number 216
_symmetry_space_group_name_Hall 'F -4 2 3'
_cell_length_a 7.107
_cell_length_b 7.107
_cell_length_c 7.107
_cell_angle_alpha 90.00
_cell_angle_beta 90.00
_cell_angle_gamma 90.00
loop_
_atom_site_label
_atom_site_fract_x
_atom_site_fract_y
_atom_site_fract_z
_atom_site_occupancy
Si1 0.000 0.000 0.000 1
Sb1 0.250 0.250 0.750 1
Br1 0.000 0.000 0.500 1
Br2 0.250 0.250 0.250 1
# **Energy relative to the lowest polymorph listed for this composition**: 257 meV per atom
# **Electronic total energy**: -3.21 eV per atom

2.
# GGA-PBEsol SiSbBr4, relaxed
data_SiSbBr4
_symmetry_space_group_name_H-M 'F -4 3 m'
_symmetry_Int_Tables_number 216
_symmetry_space_group_name_Hall 'F -4 2 3'
_cell_length_a 8.487
_cell_length_b 8.487
_cell_length_c 8.487
_cell_angle_alpha 90.00
_cell_angle_beta 90.00
_cell_angle_gamma 90.00
loop_
_atom_site_label
_atom_site_fract_x
_atom_site_fract_y
_atom_site_fract_z
_atom_site_occupancy
Si1 0.000 0.000 0.000 1
Sb1 0.250 0.250 0.750 1
Br1 0.125 0.125 0.375 1
# **Electronic total energy**: -2.13 eV per atom

Asked for formation energy from raw total energies across the records above, the calculation gives 0.3028 0.8371 eV/atom in order.
Asked for density of states at the Fermi level across the records above, the calculation gives 18.2 27.1 states/eV per cell in order.